Here is Rb2LiPrCl6 at its PBEsol-relaxed geometry from Alexandria. Energies are from meta-GGA SCAN.

Unit cell a=7.390 b=7.390 c=7.390 alpha=60.00 beta=60.00 gamma=60.00
Positions (direct):
Pr 0.500 0.500 0.500
Li 0.000 0.000 0.000
Rb 0.250 0.250 0.250
Rb 0.750 0.750 0.750
Cl 0.759 0.241 0.241
Cl 0.241 0.241 0.759
Cl 0.241 0.759 0.241
Cl 0.241 0.759 0.759
Cl 0.759 0.759 0.241
Cl 0.759 0.241 0.759

Calculated values
Uncorrected formation energy in eV per atom: -2.31

Here is K2YTc at its PBEsol-relaxed geometry from Alexandria. Energies are from meta-GGA SCAN.

Unit cell a=5.571 b=5.571 c=5.571 alpha=60.00 beta=60.00 gamma=60.00
Last column: magnetic moment on the atom in μB.
Positions (direct):
K 0.250 0.250 0.250  -0.03
K 0.750 0.750 0.750  -0.03
Tc 0.000 0.000 0.000  2.99
Y 0.500 0.500 0.500  -0.74

Calculated values
ΔE_f in eV per atom: 1.428

Please write out number 2 again, unchanged.
Here is K2YTc at its PBEsol-relaxed geometry from Alexandria. Energies are from meta-GGA SCAN.

Unit cell a=5.571 b=5.571 c=5.571 alpha=60.00 beta=60.00 gamma=60.00
Last column: magnetic moment on the atom in μB.
Positions (direct):
K 0.250 0.250 0.250  -0.03
K 0.750 0.750 0.750  -0.03
Tc 0.000 0.000 0.000  2.99
Y 0.500 0.500 0.500  -0.74

Calculated values
ΔE_f in eV per atom: 1.428